Entry 1:
# LaNb3Os

A geometry-optimized LaNb3Os structure (GGA-PBE, Alexandria via LeMat-Bulk).

Magnetic moment   0.0000 μB/atom
Distance to the lowest polymorph of the same formula   0.0 kJ per mole of atoms
Uncorrected energy   -8.63 eV/atom
E_form   639 meV per atom

Cell lengths 4.9676, 4.9676, 4.9676 Å; angles 90.00, 90.00, 90.00 degrees
With the nearest neighbours (Å) after each atom.
Space group Pm-3m (No. 221)
One atom of each set of equivalent atoms:
La (0.0000, 0.0000, 0.0000) [1 per cell]  12 Nb 3.51
Nb (0.0000, 0.5000, 0.5000) [3 per cell]  2 Os 2.48
Os (0.5000, 0.5000, 0.5000) [1 per cell]  6 Nb 2.48

***

Entry 2:
# Ho5Er2TmTh

A geometry-optimized Ho5Er2TmTh structure (GGA-PBE, Alexandria via LeMat-Bulk).

Magnetic moment   0.0000 μB/atom
Uncorrected energy   -4.71 eV/atom
E_form   165 meV per atom

Cell lengths 5.6467, 21.4036, 9.6047 Å; angles 90.00, 90.00, 90.00 degrees
With the nearest neighbours (Å) after each atom.
Space group Cmc2_1 (No. 36)
One atom of each set of equivalent atoms:
Ho (0.0000, 0.0143, 0.0000) [4 per cell]  3 Er 3.32-3.68, 2 Th 3.44, 2 Ho 3.58
Ho (0.0000, 0.2705, 0.3078) [4 per cell]  1 Th 3.01, 1 Er 3.32
Ho (0.0000, 0.3045, 0.7008) [4 per cell]  4 Ho 3.41-3.69, 3 Tm 3.42-3.78, 3 Er 3.47-3.73, 1 Th 3.55
Ho (0.0000, 0.3973, 0.0242) [4 per cell]  2 Ho 3.25-3.45, 4 Er 3.31-3.50
Ho (0.0000, 0.4692, 0.7256) [4 per cell]  2 Th 3.21-3.38, 5 Ho 3.25-3.58, 2 Er 3.45
Er (0.0000, 0.1152, 0.3104) [4 per cell]  9 Ho 3.32-3.68, 1 Tm 3.39, 1 Er 3.69
Er (0.0000, 0.1300, 0.6931) [4 per cell]  1 Tm 3.21, 2 Ho 3.31, 2 Th 3.56
Tm (0.0000, 0.1898, 0.9997) [4 per cell]  2 Er 3.21-3.39, 5 Ho 3.42-3.48, 2 Th 3.58
Th (0.0000, 0.4042, 0.4054) [4 per cell]  2 Ho 3.01-3.21

***

Entry 3:
# Zr3Be2

A geometry-optimized Zr3Be2 structure (GGA-PBE, Alexandria via LeMat-Bulk).

Magnetic moment   0.0000 μB/atom
Uncorrected energy   -6.53 eV/atom
E_form   85 meV per atom

Cell lengths 4.3681, 4.3681, 5.4666 Å; angles 90.00, 90.00, 120.00 degrees
With the nearest neighbours (Å) after each atom.
Space group P-3m1 (No. 164)
One atom of each set of equivalent atoms:
Zr (0.0000, 0.0000, 0.0000) [1 per cell]  6 Be 2.65
Zr (0.3333, 0.6667, 0.3471) [2 per cell]  5 Be 2.73-2.74, 3 Zr 3.03
Be (0.3333, 0.6667, 0.8482) [2 per cell]  8 Zr 2.65-2.74

***

Entry 4:
# Ti2PtN2

A geometry-optimized Ti2PtN2 structure (GGA-PBE, Alexandria via LeMat-Bulk).

Magnetic moment   0.0000 μB/atom
Distance to the lowest polymorph of the same formula   43.9 kJ per mole of atoms
Uncorrected energy   -8.27 eV/atom
Formation energy (no corrections)   -0.58 eV per atom

Cell lengths 6.2403, 6.2403, 2.7880 Å; angles 90.00, 90.00, 90.00 degrees
With the nearest neighbours (Å) after each atom.
Space group P4/mbm (No. 127)
One atom of each set of equivalent atoms:
Ti (0.1540, 0.3460, 0.0000) [4 per cell]  6 N 2.23-2.35
Pt (0.0000, 0.0000, 0.5000) [2 per cell]  4 N 2.38
N (0.1490, 0.6490, 0.5000) [4 per cell]  6 Ti 2.23-2.35, 2 Pt 2.38

***

Entry 5:
# Be4CrIn

A geometry-optimized Be4CrIn structure (GGA-PBE, Alexandria via LeMat-Bulk).

Magnetic moment   0.4906 μB/atom
Uncorrected energy   -4.40 eV/atom
E_form   147 meV per atom

Cell lengths 6.4204, 6.4204, 6.4204 Å; angles 90.00, 90.00, 90.00 degrees
With the nearest neighbours (Å) after each atom.
Space group F-43m (No. 216)
One atom of each set of equivalent atoms:
Be (0.1215, 0.1215, 0.1215) [16 per cell]  6 Be 2.21-2.33
Cr (0.2500, 0.2500, 0.7500) [4 per cell]  12 Be 2.66, 4 In 2.78
In (0.0000, 0.0000, 0.5000) [4 per cell]  12 Be 2.67, 4 Cr 2.78